Record 1
DFT (PBE-GGA) results for a geometry-optimized HfMn4Al8 structure.

```
HfMn4Al8
1.0
4.755 0.000 1.911
2.377 6.103 0.956
0.101 0.000 6.618
Al Mn Hf
8 4 1
Cartesian
1.618 4.066 2.845
4.255 4.762 3.155
3.238 4.066 5.684
0.861 2.037 4.728
3.995 2.037 3.801
5.356 4.762 7.285
1.877 1.341 2.200
2.979 1.341 6.330
2.428 0.000 4.265
3.566 3.051 1.433
0.051 0.000 3.309
1.189 3.051 0.478
0.000 0.000 0.000
```

For the energy of formation from the pure elements, the calculation gives -0.314 eV/atom. The total energy comes out at -6.20 eV per atom. As for the space group: I4/mmm, No. 139. The value obtained for the density of states at the Fermi level is 0.622 states/eV/atom. The calculation puts the volume at 14.680 Å³ per atom.

Record 2
DFT (PBE-GGA) results for a geometry-optimized Hf2GaRe structure.

```
Hf2GaRe
1.0
-2.138 -2.339 -0.421
0.976 -3.036 -0.222
-1.129 -2.655 8.345
Ga Re Hf
1 1 2
Cartesian
-1.146 -4.015 3.851
0.000 0.000 0.000
-1.729 -6.034 5.892
-0.563 -1.996 1.811
```

For the energy of formation from the pure elements, the calculation gives -0.144 eV/atom. The total energy comes out at -8.99 eV per atom. As for the space group: R-3m, No. 166. The value obtained for the density of states at the Fermi level is 0.582 states/eV/atom. The calculation puts the volume at 19.106 Å³ per atom.

Record 3
DFT (PBE-GGA) results for a geometry-optimized CaDyAl structure.

```
CaDyAl
1.0
4.789 0.000 0.000
0.000 4.789 0.000
0.000 0.000 7.775
Ca Al Dy
2 2 2
Cartesian
2.395 0.000 5.459
0.000 2.395 2.316
0.000 0.000 0.000
2.395 2.395 0.000
2.395 0.000 1.819
0.000 2.395 5.956
```

For the energy of formation from the pure elements, the calculation gives -0.022 eV/atom. The energy above the most stable polymorph in this dataset is 150 meV per atom. The total energy comes out at -3.47 eV per atom. As for the space group: P4/nmm, No. 129. The value obtained for the density of states at the Fermi level is 0.482 states/eV/atom. The calculation puts the volume at 29.720 Å³ per atom.

Record 4
DFT (PBE-GGA) results for a geometry-optimized PrHoCd2Au4 structure.

```
PrHoCd2Au4
1.0
-4.530 -1.489 1.504
-0.436 -3.709 3.326
-1.420 3.683 7.680
Au Ho Cd Pr
4 1 2 1
Cartesian
-1.512 1.573 5.315
-3.279 -2.717 4.059
-4.875 -3.088 7.195
-3.108 1.202 8.451
-3.193 -0.757 6.255
-4.790 -1.127 9.392
-1.597 -0.388 3.118
0.000 0.000 0.000
```

For the energy of formation from the pure elements, the calculation gives -0.652 eV/atom. The total energy comes out at -3.69 eV per atom. As for the space group: R-3m, No. 166. The value obtained for the density of states at the Fermi level is 0.530 states/eV/atom. The calculation puts the volume at 22.027 Å³ per atom.

Question: Which of these has the lowest volume?
Answer: HfMn4Al8

Copy entry 4 word for word.
DFT (PBE-GGA) results for a geometry-optimized PrHoCd2Au4 structure.

```
PrHoCd2Au4
1.0
-4.530 -1.489 1.504
-0.436 -3.709 3.326
-1.420 3.683 7.680
Au Ho Cd Pr
4 1 2 1
Cartesian
-1.512 1.573 5.315
-3.279 -2.717 4.059
-4.875 -3.088 7.195
-3.108 1.202 8.451
-3.193 -0.757 6.255
-4.790 -1.127 9.392
-1.597 -0.388 3.118
0.000 0.000 0.000
```

For the energy of formation from the pure elements, the calculation gives -0.652 eV/atom. The total energy comes out at -3.69 eV per atom. As for the space group: R-3m, No. 166. The value obtained for the density of states at the Fermi level is 0.530 states/eV/atom. The calculation puts the volume at 22.027 Å³ per atom.

Question: Among the records above, which one has the highest total energy?
Answer: CaDyAl

Question: total energy of number 3 (CaDyAl)?
Answer: -3.47 eV per atom